VASP calculation (GGA-PBE) on crystalline Ac2ErF11 at its relaxed geometry.

Summary:
Formation energy without anion corrections = -3.4699 eV/atom
Total magnetization = 4.26 Bohr magnetons per cell
Symmetry = Ibam (72)

a b c (Å): 9.111 9.076 9.076
angles (deg): 72.39 59.87 59.87
Each line ends with the local moment (μB).
Sites, in units of the cell vectors:
Er 0.250 0.250 0.250  -0.02
Er 0.750 0.750 0.750  -0.02
F 0.248 0.513 0.178  0.14
F 0.000 0.000 0.000  0.46
F 0.748 0.678 0.013  0.14
F 0.601 0.320 0.680  0.23
F 0.450 0.801 0.930  0.12
F 0.752 0.487 0.822  0.14
F 0.319 0.301 0.430  0.12
F 0.899 0.820 0.180  0.23
F 0.440 0.987 0.322  0.14
F 0.950 0.430 0.301  0.12
F 0.940 0.822 0.487  0.14
F 0.550 0.199 0.070  0.12
F 0.181 0.070 0.199  0.12
F 0.060 0.178 0.513  0.14
F 0.101 0.180 0.820  0.23
F 0.560 0.013 0.678  0.14
F 0.681 0.699 0.570  0.12
F 0.500 0.500 0.500  0.46
F 0.050 0.570 0.699  0.12
F 0.252 0.322 0.987  0.14
F 0.819 0.930 0.801  0.12
F 0.399 0.680 0.320  0.23
Ac 0.675 0.693 0.307  0.01
Ac 0.325 0.307 0.693  0.01
Ac 0.175 0.807 0.193  0.01
Ac 0.825 0.193 0.807  0.01

VASP calculation (GGA-PBE) on crystalline AcEr2F11 at its relaxed geometry.

Summary:
Formation energy without anion corrections = -3.4784 eV/atom
Total magnetization = 4.22 Bohr magnetons per cell
Symmetry = Ibam (72)

a b c (Å): 8.405 8.996 8.996
angles (deg): 70.38 62.15 62.15
Each line ends with the local moment (μB).
Sites, in units of the cell vectors:
F 0.745 0.685 0.045  0.13
F 0.846 0.953 0.797  0.13
F 0.025 0.185 0.545  0.13
F 0.905 0.453 0.297  0.13
F 0.525 0.045 0.685  0.13
F 0.112 0.204 0.796  0.25
F 0.475 0.955 0.315  0.13
F 0.095 0.547 0.703  0.13
F 0.154 0.047 0.203  0.13
F 0.975 0.815 0.455  0.13
F 0.500 0.500 0.500  0.37
F 0.255 0.315 0.955  0.13
F 0.405 0.797 0.953  0.13
F 0.346 0.297 0.453  0.13
F 0.388 0.704 0.296  0.25
F 0.245 0.545 0.185  0.13
F 0.888 0.796 0.204  0.25
F 0.000 0.000 0.000  0.37
F 0.595 0.203 0.047  0.13
F 0.654 0.703 0.547  0.13
F 0.612 0.296 0.704  0.25
F 0.755 0.455 0.815  0.13
Er 0.151 0.814 0.186  -0.03
Er 0.349 0.314 0.686  -0.03
Er 0.651 0.686 0.314  -0.03
Er 0.849 0.186 0.814  -0.03
Ac 0.750 0.750 0.750  -0.01
Ac 0.250 0.250 0.250  -0.01

VASP calculation (GGA-PBE) on crystalline Ac3ErF at its relaxed geometry.

Summary:
Formation energy without anion corrections = -0.9316 eV/atom
Total magnetization = 0.00 Bohr magnetons per cell
Symmetry = Pm-3m (221)

a b c (Å): 5.516 5.516 5.516
angles (deg): 90.00 90.00 90.00
Sites, in units of the cell vectors:
Ac 0.500 0.000 0.000
Ac 0.000 0.500 0.000
Ac 0.000 0.000 0.500
Er 0.500 0.500 0.500
F 0.000 0.000 0.000

VASP calculation (GGA-PBE) on crystalline AcEr2F8 at its relaxed geometry.

Summary:
Formation energy without anion corrections = -3.8951 eV/atom
Total magnetization = 0.00 Bohr magnetons per cell
Symmetry = C2/m (12)

a b c (Å): 4.280 6.310 6.310
angles (deg): 112.88 98.59 98.59
Sites, in units of the cell vectors:
Ac 0.500 0.000 0.000
F 0.287 0.611 0.611
F 0.938 0.681 0.945
F 0.713 0.389 0.389
F 0.062 0.055 0.319
F 0.500 0.750 0.250
F 0.500 0.250 0.750
F 0.062 0.319 0.055
F 0.938 0.945 0.681
Er 0.000 0.680 0.320
Er 0.000 0.320 0.680

VASP calculation (GGA-PBE) on crystalline Li3Ac2ErF12 at its relaxed geometry.

Summary:
Formation energy without anion corrections = -3.4930 eV/atom
Total magnetization = 0.00 Bohr magnetons per cell
Symmetry = R-3m (166)

a b c (Å): 7.284 7.284 7.284
angles (deg): 63.23 63.23 63.23
Sites, in units of the cell vectors:
F 0.065 0.666 0.065
F 0.935 0.935 0.334
F 0.065 0.065 0.666
F 0.110 0.568 0.568
F 0.935 0.334 0.935
F 0.432 0.890 0.432
F 0.568 0.568 0.110
F 0.432 0.432 0.890
F 0.666 0.065 0.065
F 0.334 0.935 0.935
F 0.890 0.432 0.432
F 0.568 0.110 0.568
Li 0.000 0.000 0.500
Li 0.000 0.500 0.000
Li 0.500 0.000 0.000
Ac 0.659 0.659 0.659
Ac 0.341 0.341 0.341
Er 0.000 0.000 0.000

VASP calculation (GGA-PBE) on crystalline AcErFe at its relaxed geometry.

Summary:
DFT formation energy = 0.24 eV per formula unit
Total magnetization = 4.37 Bohr magnetons per cell
Symmetry = Cmce (64)

a b c (Å): 7.085 7.356 7.452
angles (deg): 90.00 90.00 118.79
Each line ends with the local moment (μB).
Sites, in units of the cell vectors:
Ac 0.802 0.605 0.387  -0.06
Ac 0.302 0.605 0.113  -0.06
Ac 0.198 0.395 0.613  -0.06
Ac 0.698 0.395 0.887  -0.06
Er 0.713 0.926 0.750  -0.27
Er 0.287 0.074 0.250  -0.27
Er 0.787 0.074 0.250  -0.27
Er 0.213 0.926 0.750  -0.27
Fe 0.584 0.168 0.539  1.56
Fe 0.916 0.832 0.039  1.56
Fe 0.084 0.168 0.961  1.56
Fe 0.416 0.832 0.461  1.56

VASP calculation (GGA-PBE) on crystalline AcEr3Fe at its relaxed geometry.

Summary:
DFT formation energy = 0.33 eV per formula unit
Total magnetization = 0.00 Bohr magnetons per cell
Symmetry = Pm-3m (221)

a b c (Å): 5.320 5.320 5.320
angles (deg): 90.00 90.00 90.00
Sites, in units of the cell vectors:
Er 0.500 0.000 0.000
Er 0.000 0.500 0.000
Er 0.000 0.000 0.500
Fe 0.000 0.000 0.000
Ac 0.500 0.500 0.500

VASP calculation (GGA-PBE) on crystalline AcEr2FeN4 at its relaxed geometry.

Summary:
Formation energy without anion corrections = -1.1461 eV/atom
Total magnetization = 0.02 Bohr magnetons per cell
Symmetry = Cmcm (63)

a b c (Å): 3.450 6.054 11.536
angles (deg): 90.00 90.00 106.55
Sites, in units of the cell vectors:
Er 0.633 0.265 0.455
Er 0.367 0.735 0.545
Er 0.367 0.735 0.955
Er 0.633 0.265 0.045
N 0.737 0.474 0.623
N 0.404 0.807 0.750
N 0.737 0.474 0.877
N 0.263 0.526 0.123
N 0.000 0.000 0.000
N 0.596 0.193 0.250
N 0.000 0.000 0.500
N 0.263 0.526 0.377
Fe 0.166 0.332 0.250
Fe 0.834 0.668 0.750
Ac 0.101 0.202 0.750
Ac 0.899 0.798 0.250